Compound: TaZnW2
Source: the Alexandria database
Functional: PBE-GGA
Structure: relaxed

Energy relative to the elements = 1.4 eV per formula unit

Lattice parameters (Å, degrees): 9.8941 9.8941 9.8941 16.28 16.28 16.28
Closest atoms and distances in Å follow each position.
Fractional positions:
Ta  0.7522  0.7522  0.7522  6 Ta 2.80, 3 Zn 2.92, 3 W 3.03
W  0.9980  0.9980  0.9980  9 W 2.80-2.93, 3 Ta 3.03
W  0.2477  0.2477  0.2477  9 W 2.80-2.93, 3 Zn 2.82
Zn  0.5020  0.5020  0.5020  6 Zn 2.80, 3 W 2.82, 3 Ta 2.92

Compound: SiBi2N4
Source: the Alexandria database
Functional: PBE-GGA
Structure: relaxed

Formation energy without anion corrections = 0.597 eV per atom

Lattice parameters (Å, degrees): 3.6323 3.6323 6.9716 74.90 74.90 90.00
Closest atoms and distances in Å follow each position.
Fractional positions:
Bi  0.3513  0.3513  0.2973  9 N 2.46-2.65
Bi  0.6487  0.6487  0.7027  9 N 2.46-2.65
N  0.8388  0.8388  0.3224  1 Si 2.09
N  0.5000  0.0000  0.0000  2 Si 1.82
N  0.1612  0.1612  0.6776  1 Si 2.09
N  0.0000  0.5000  0.0000  2 Si 1.82
Si  0.0000  0.0000  0.0000  4 N 1.82

Compound: CsIn2Au2
Source: the Alexandria database
Functional: PBE-GGA
Structure: relaxed

Energy above the most stable polymorph in this dataset = 0.176 eV per atom
Energy relative to the elements = -0.4 eV per formula unit

Lattice parameters (Å, degrees): 8.9733 8.9733 3.4028 90.00 90.00 90.00
Closest atoms and distances in Å follow each position.
Fractional positions:
In  0.8776  0.6224  0.0000  3 In 3.11-3.40, 6 Au 3.13-3.16
In  0.6224  0.1224  0.0000  3 In 3.11-3.40, 6 Au 3.13-3.16
In  0.1224  0.3776  0.0000  3 In 3.11-3.40, 6 Au 3.13-3.16
In  0.3776  0.8776  0.0000  3 In 3.11-3.40, 6 Au 3.13-3.16
Au  0.6703  0.8297  0.5000  6 In 3.13-3.16, 2 Au 3.40
Au  0.3297  0.1703  0.5000  6 In 3.13-3.16, 2 Au 3.40
Au  0.1703  0.6703  0.5000  6 In 3.13-3.16, 2 Au 3.40
Au  0.8297  0.3297  0.5000  6 In 3.13-3.16, 2 Au 3.40
Cs  0.0000  0.0000  0.0000  2 Cs 3.40, 4 In 3.56, 8 Au 3.74
Cs  0.5000  0.5000  0.0000  2 Cs 3.40, 4 In 3.56, 8 Au 3.74

Compound: Tl2SnH2
Source: the Alexandria database
Functional: PBE-GGA
Structure: relaxed

Energy above the most stable polymorph in this dataset = 0.248 eV per atom

Lattice parameters (Å, degrees): 3.6480 3.6480 7.8728 76.60 76.60 90.00
Closest atoms and distances in Å follow each position.
Fractional positions:
H  0.7500  0.2500  0.5000  4 Tl 2.30, 4 H 2.58
H  0.2500  0.7500  0.5000  4 Tl 2.30, 4 H 2.58
Tl  0.3446  0.3446  0.3108  4 H 2.30
Tl  0.6554  0.6554  0.6892  4 H 2.30
Sn  0.0000  0.0000  0.0000  8 Tl 3.46, 4 Sn 3.65

Compound: KRb
Source: the Alexandria database
Functional: PBE-GGA
Structure: relaxed

Energy above the most stable polymorph in this dataset = 0.014 eV per atom
Energy relative to the elements = 0.0 eV per formula unit

Lattice parameters (Å, degrees): 13.5168 7.7731 9.2898 90.00 90.00 90.00
Closest atoms and distances in Å follow each position.
Fractional positions:
K  0.5000  0.5000  0.9182  8 Rb 4.64-5.08, 6 K 5.01-5.15
K  0.0000  0.0000  0.4182  8 Rb 4.64-5.08, 6 K 5.01-5.15
K  0.8387  0.5000  0.6651  1 K 4.36, 4 Rb 4.50-4.67
K  0.6613  0.0000  0.1651  1 K 4.36, 4 Rb 4.50-4.67
K  0.1613  0.5000  0.6651  1 K 4.36, 4 Rb 4.50-4.67
K  0.3387  0.0000  0.1651  1 K 4.36, 4 Rb 4.50-4.67
Rb  0.3292  0.0000  0.6676  5 K 4.50-5.02, 2 Rb 4.62-5.02
Rb  0.5000  0.5000  0.4184  8 K 4.64-5.12, 6 Rb 5.02-5.08
Rb  0.6708  0.0000  0.6676  5 K 4.50-5.02, 2 Rb 4.62-5.02
Rb  0.0000  0.0000  0.9184  8 K 4.64-5.12, 6 Rb 5.02-5.08
Rb  0.1708  0.5000  0.1676  5 K 4.50-5.02, 2 Rb 4.62-5.02
Rb  0.8292  0.5000  0.1676  5 K 4.50-5.02, 2 Rb 4.62-5.02

Compound: NdNpIrRu
Source: the Alexandria database
Functional: PBE-GGA
Structure: relaxed

Energy relative to the elements = -0.7 eV per formula unit

Lattice parameters (Å, degrees): 4.8922 4.8922 4.8922 60.00 60.00 60.00
Closest atoms and distances in Å follow each position.
Fractional positions:
Ir  0.7500  0.7500  0.7500  4 Nd 3.00, 4 Np 3.00
Np  0.0000  0.0000  0.0000  4 Ru 3.00, 4 Ir 3.00
Ru  0.2500  0.2500  0.2500  4 Nd 3.00, 4 Np 3.00
Nd  0.5000  0.5000  0.5000  4 Ir 3.00, 4 Ru 3.00

Compound: ZrNb2V
Source: the Alexandria database
Functional: PBE-GGA
Structure: relaxed

Energy above the most stable polymorph in this dataset = 0.000 eV per atom
Energy relative to the elements = 0.3 eV per formula unit

Lattice parameters (Å, degrees): 3.2442 3.2442 6.9324 90.00 90.00 90.00
Closest atoms and distances in Å follow each position.
Fractional positions:
V  0.5000  0.5000  0.0000  8 Nb 2.74
Nb  0.0000  0.0000  0.7827  4 V 2.74, 1 Nb 3.01, 4 Zr 3.02
Nb  0.0000  0.0000  0.2173  4 V 2.74, 1 Nb 3.01, 4 Zr 3.02
Zr  0.5000  0.5000  0.5000  8 Nb 3.02, 4 Zr 3.24

Compound: Er3Pd2Au2
Source: the Alexandria database
Functional: PBE-GGA
Structure: relaxed

Energy relative to the elements = -5.5 eV per formula unit

Lattice parameters (Å, degrees): 4.9188 4.8913 8.6219 97.93 107.06 120.94
Closest atoms and distances in Å follow each position.
Fractional positions:
Pd  0.3003  0.2227  0.3558  1 Pd 2.68, 5 Er 2.75-2.93
Pd  0.6997  0.7773  0.6442  1 Pd 2.68, 5 Er 2.75-2.93
Au  0.8105  0.4535  0.1631  6 Er 3.04-3.13, 3 Pd 3.05-3.29
Au  0.1895  0.5465  0.8369  6 Er 3.04-3.13, 3 Pd 3.05-3.29
Er  0.6060  0.8878  0.3142  4 Pd 2.79-2.93, 3 Au 3.04-3.07
Er  0.0000  0.0000  0.0000  2 Pd 2.75, 2 Au 3.04
Er  0.3940  0.1122  0.6858  4 Pd 2.79-2.93, 3 Au 3.04-3.07

Compound: CePm2Dy
Source: the Alexandria database
Functional: PBE-GGA
Structure: relaxed

Energy above the most stable polymorph in this dataset = 0.000 eV per atom
Energy relative to the elements = 0.3 eV per formula unit

Lattice parameters (Å, degrees): 3.5660 3.5660 10.1916 90.00 90.00 90.00
Closest atoms and distances in Å follow each position.
Fractional positions:
Pm  0.0000  0.0000  0.2447  4 Ce 3.55, 4 Pm 3.57, 4 Dy 3.62
Pm  0.0000  0.0000  0.7553  4 Ce 3.55, 4 Pm 3.57, 4 Dy 3.62
Dy  0.5000  0.5000  0.5000  4 Dy 3.57, 8 Pm 3.62
Ce  0.5000  0.5000  0.0000  8 Pm 3.55, 4 Ce 3.57

Compound: NaIn2PbI6
Source: the Alexandria database
Functional: PBE-GGA
Structure: relaxed

Formation energy without anion corrections = -0.634 eV per atom

Lattice parameters (Å, degrees): 8.1135 8.1118 8.9476 89.97 116.97 120.07
Closest atoms and distances in Å follow each position.
Fractional positions:
Na  0.9925  0.9958  0.9743  6 I 3.27-3.39
I  0.7797  0.7058  0.1796  2 In 3.21-3.35, 1 Na 3.27, 1 Pb 3.30
I  0.1007  0.2090  0.6763  2 In 3.22-3.30, 1 Pb 3.26, 1 Na 3.39
I  0.1207  0.4133  0.1801  2 In 3.21-3.35, 1 Na 3.27, 1 Pb 3.30
I  0.7989  0.5898  0.6760  2 In 3.22-3.30, 1 Pb 3.26, 1 Na 3.38
I  0.4823  0.8916  0.6755  2 In 3.22-3.30, 1 Pb 3.26, 1 Na 3.38
I  0.4874  0.0725  0.1797  2 In 3.21-3.35, 1 Na 3.27, 1 Pb 3.30
In  0.6085  0.3036  0.8981  6 I 3.30-3.35
In  0.6172  0.8079  0.4108  6 I 3.21-3.22
Pb  0.9778  0.4884  0.4522  6 I 3.26-3.30

Compound: YCoSn
Source: the Alexandria database
Functional: PBE-GGA
Structure: relaxed

Energy relative to the elements = -1.0 eV per formula unit

Lattice parameters (Å, degrees): 4.5381 4.5381 4.5381 60.00 60.00 60.00
Closest atoms and distances in Å follow each position.
Fractional positions:
Y  0.0000  0.0000  0.0000  4 Co 2.78
Sn  0.5000  0.5000  0.5000  4 Co 2.78
Co  0.2500  0.2500  0.2500  4 Y 2.78, 4 Sn 2.78

Compound: Cs2RbLiHg
Source: the Alexandria database
Functional: PBE-GGA
Structure: relaxed

Energy above the most stable polymorph in this dataset = 0.000 eV per atom
Energy relative to the elements = -0.1 eV per formula unit

Lattice parameters (Å, degrees): 7.5501 7.5501 5.7214 90.00 90.00 90.00
Closest atoms and distances in Å follow each position.
Fractional positions:
Cs  0.0000  0.5000  0.0000  2 Hg 3.78
Cs  0.5000  0.0000  0.0000  2 Hg 3.78
Rb  0.5000  0.5000  0.5000  8 Cs 4.74
Li  0.0000  0.0000  0.5000  2 Hg 2.86
Hg  0.0000  0.0000  0.0000  2 Li 2.86

Number 1: total energy -9.42 eV per atom. Number 2: total energy -6.04 eV per atom. Number 3: total energy -2.66 eV per atom. Number 4: total energy -2.70 eV per atom. Number 5: total energy -1.02 eV per atom. Number 6: total energy -9.13 eV per atom. Number 7: total energy -9.37 eV per atom. Number 8: total energy -5.16 eV per atom. Number 9: total energy -4.94 eV per atom. Number 10: total energy -2.61 eV per atom. Number 11: total energy -6.20 eV per atom. Number 12: total energy -1.00 eV per atom.